# LiPrTlSn, optimized geometry, DFT PBE
data_LiPrTlSn
_chemical_formula_sum 'Li4 Pr4 Tl4 Sn4'
_cell_length_a 7.513
_cell_length_b 7.513
_cell_length_c 7.513
_cell_angle_alpha 90.00
_cell_angle_beta 90.00
_cell_angle_gamma 90.00
_symmetry_space_group_name_H-M 'P 1'
_symmetry_Int_Tables_number 1
_symmetry_space_group_name_Hall 'P 1'
loop_
_atom_site_label
_atom_site_fract_x
_atom_site_fract_y
_atom_site_fract_z
Li1 0.000 0.000 0.000
Li2 0.000 0.500 0.500
Li3 0.500 0.000 0.500
Li4 0.500 0.500 0.000
Pr1 0.000 0.000 0.500
Pr2 0.000 0.500 0.000
Pr3 0.500 0.000 0.000
Pr4 0.500 0.500 0.500
Tl1 0.250 0.250 0.250
Tl2 0.250 0.750 0.750
Tl3 0.750 0.250 0.750
Tl4 0.750 0.750 0.250
Sn1 0.250 0.250 0.750
Sn2 0.250 0.750 0.250
Sn3 0.750 0.250 0.250
Sn4 0.750 0.750 0.750
# density of states at the Fermi level = 6.78 states/eV per cell
# energy relative to the elements = -0.400 eV/atom
# E above lowest polymorph = 0.056 eV/atom
# SG = No. 216